A relaxed structure of BeTc2Mo. Source: Alexandria via LeMat-Bulk, functional GGA-PBE.

a b c (Å): 5.0183 5.0183 2.6746
angles (deg): 77.27 77.27 115.26
Fractional coordinates of all 4 atoms:
1 Be 0.5000 0.0000 0.5000
2 Mo 0.0000 0.5000 0.5000
3 Tc 0.0000 0.0000 0.0000
4 Tc 0.5000 0.5000 0.0000

E_form, eV per atom: 0.1318
SG: C2/m (12)
E_tot, eV/f.u.: -34.76